*P*
# SiPRuO2 (PBE-GGA, relaxed)
data_SiPRuO2
_chemical_formula_sum 'Si1 P1 Ru1 O2'
_symmetry_space_group_name_H-M 'P 4/m m m'
_symmetry_Int_Tables_number 123
_symmetry_space_group_name_Hall '-P 4 2'
_cell_length_a 3.7410
_cell_length_b 3.7410
_cell_length_c 5.1878
_cell_angle_alpha 90.00
_cell_angle_beta 90.00
_cell_angle_gamma 90.00
loop_
_atom_site_label
_atom_site_fract_x
_atom_site_fract_y
_atom_site_fract_z
Si1 0.0000 0.0000 0.0000
P1 0.5000 0.5000 0.0000
Ru1 0.5000 0.5000 0.5000
O1 0.0000 0.5000 0.5000
# Magnetic moment   0.001 μB/cell
# Density of states at the Fermi level   4.5 states/eV/cell


*Q*
# SiPRuO2 (PBE-GGA, relaxed)
data_SiPRuO2
_chemical_formula_sum 'Si1 P1 Ru1 O2'
_symmetry_space_group_name_H-M 'P 4/m m m'
_symmetry_Int_Tables_number 123
_symmetry_space_group_name_Hall '-P 4 2'
_cell_length_a 3.3044
_cell_length_b 3.3044
_cell_length_c 7.1913
_cell_angle_alpha 90.00
_cell_angle_beta 90.00
_cell_angle_gamma 90.00
loop_
_atom_site_label
_atom_site_fract_x
_atom_site_fract_y
_atom_site_fract_z
Si1 0.0000 0.0000 0.0000
P1 0.0000 0.0000 0.5000
Ru1 0.5000 0.5000 0.5000
O1 0.0000 0.5000 0.0000
# Magnetic moment   0.459 μB/cell
# Density of states at the Fermi level   2.8 states/eV/cell


How far above the most stable structure does each one sit? In meV/atom: *P* 605; *Q* 0.


*P*
# SnP2RuO (PBE-GGA, relaxed)
data_SnP2RuO
_chemical_formula_sum 'Sn1 P2 Ru1 O1'
_symmetry_space_group_name_H-M 'P 4/m m m'
_symmetry_Int_Tables_number 123
_symmetry_space_group_name_Hall '-P 4 2'
_cell_length_a 4.9435
_cell_length_b 4.9435
_cell_length_c 3.7281
_cell_angle_alpha 90.00
_cell_angle_beta 90.00
_cell_angle_gamma 90.00
loop_
_atom_site_label
_atom_site_fract_x
_atom_site_fract_y
_atom_site_fract_z
Sn1 0.0000 0.0000 0.0000
P1 0.0000 0.5000 0.5000
Ru1 0.5000 0.5000 0.5000
O1 0.5000 0.5000 0.0000
# Magnetic moment   0.214 μB/cell
# Density of states at the Fermi level   5.9 states/eV/cell


*Q*
# SnP2RuO (PBE-GGA, relaxed)
data_SnP2RuO
_chemical_formula_sum 'Sn1 P2 Ru1 O1'
_symmetry_space_group_name_H-M 'P 4/m m m'
_symmetry_Int_Tables_number 123
_symmetry_space_group_name_Hall '-P 4 2'
_cell_length_a 5.1029
_cell_length_b 5.1029
_cell_length_c 3.9061
_cell_angle_alpha 90.00
_cell_angle_beta 90.00
_cell_angle_gamma 90.00
loop_
_atom_site_label
_atom_site_fract_x
_atom_site_fract_y
_atom_site_fract_z
Sn1 0.0000 0.0000 0.0000
P1 0.0000 0.5000 0.0000
Ru1 0.5000 0.5000 0.5000
O1 0.0000 0.0000 0.5000
# Magnetic moment   2.287 μB/cell
# Density of states at the Fermi level   6.6 states/eV/cell


How far above the most stable structure does each one sit? In meV/atom: *P* 0; *Q* 936.